[1]
# Na2TiO3 PBE relaxed
data_Na2TiO3
_chemical_formula_sum 'Na8 Ti4 O12'
_space_group_name_H-M_alt 'C 1 2/c 1'
_space_group_IT_number 15
_cell_length_a 10.0421
_cell_length_b 6.5106
_cell_length_c 5.5917
_cell_angle_alpha 90.00
_cell_angle_beta 115.48
_cell_angle_gamma 90.00
loop_
_space_group_symop_operation_xyz
'x,y,z'
'-x,-y,-z'
'-x,y,-z+1/2'
'x,-y,z+1/2'
'x+1/2,y+1/2,z'
'-x+1/2,-y+1/2,-z'
'-x+1/2,y+1/2,-z+1/2'
'x+1/2,-y+1/2,z+1/2'
loop_
_atom_site_label
_atom_site_fract_x
_atom_site_fract_y
_atom_site_fract_z
_atom_site_occupancy
Na1 0.1654 0.0820 0.0654 1
Ti1 0.0000 0.4168 0.2500 1
O1 0.0000 0.1421 0.2500 1
O2 0.1357 0.4488 0.0637 1
# **Formation energy from raw total energies**: -2.44 eV/atom

***

[2]
# Na3Ti8O16 PBE relaxed
data_Na3Ti8O16
_chemical_formula_sum 'Na3 Ti8 O16'
_space_group_name_H-M_alt 'P 1 m 1'
_space_group_IT_number 6
_cell_length_a 9.2896
_cell_length_b 2.9760
_cell_length_c 10.8003
_cell_angle_alpha 90.00
_cell_angle_beta 90.03
_cell_angle_gamma 90.00
loop_
_space_group_symop_operation_xyz
'x,y,z'
'x,-y,z'
loop_
_atom_site_label
_atom_site_fract_x
_atom_site_fract_y
_atom_site_fract_z
_atom_site_occupancy
Na1 0.0000 0.0000 0.0000 1
Na2 0.0146 0.5000 0.4992 1
Na3 0.5001 0.0000 0.8057 1
Ti1 0.1750 0.5000 0.7562 1
Ti2 0.2026 0.5000 0.2649 1
Ti3 0.3227 0.0000 0.0436 1
Ti4 0.3406 0.0000 0.5479 1
Ti5 0.6738 0.5000 0.0552 1
Ti6 0.6907 0.5000 0.5370 1
Ti7 0.8189 0.0000 0.7633 1
Ti8 0.8420 0.0000 0.2576 1
O1 0.0522 0.0000 0.2989 1
O2 0.1423 0.0000 0.6339 1
O3 0.1800 0.5000 0.0806 1
O4 0.2331 0.0000 0.8712 1
O5 0.2725 0.5000 0.4385 1
O6 0.3336 0.0000 0.2233 1
O7 0.3675 0.5000 0.6752 1
O8 0.4647 0.5000 0.0019 1
O9 0.5495 0.0000 0.5171 1
O10 0.6471 0.0000 0.1670 1
O11 0.6795 0.5000 0.7237 1
O12 0.7341 0.0000 0.9355 1
O13 0.7867 0.5000 0.3725 1
O14 0.8348 0.0000 0.5822 1
O15 0.8718 0.5000 0.1329 1
O16 0.9634 0.5000 0.8021 1
# **Formation energy from raw total energies**: -2.79 eV/atom

***

[3]
# Na6Ti2O7 PBE relaxed
data_Na6Ti2O7
_chemical_formula_sum 'Na12 Ti4 O14'
_space_group_name_H-M_alt 'P 1 2/c 1'
_space_group_IT_number 13
_cell_length_a 8.9133
_cell_length_b 5.3966
_cell_length_c 10.3484
_cell_angle_alpha 90.00
_cell_angle_beta 117.24
_cell_angle_gamma 90.00
loop_
_space_group_symop_operation_xyz
'x,y,z'
'-x,-y,-z'
'-x,y,-z+1/2'
'x,-y,z+1/2'
loop_
_atom_site_label
_atom_site_fract_x
_atom_site_fract_y
_atom_site_fract_z
_atom_site_occupancy
Na1 0.0650 0.1999 0.1528 1
Na2 0.3350 0.2268 0.6189 1
Na3 0.4278 0.2228 0.3648 1
Ti1 0.2114 0.3027 0.8941 1
O1 0.0000 0.1658 0.7500 1
O2 0.1912 0.3638 0.3870 1
O3 0.2722 0.2073 0.0816 1
O4 0.3869 0.2251 0.8582 1
# **Formation energy from raw total energies**: -2.23 eV/atom

***

- Which of these has the lowest formation energy from raw total energies?
  Na3Ti8O16

***

Copy entry 1 word for word.
# Na2TiO3 PBE relaxed
data_Na2TiO3
_chemical_formula_sum 'Na8 Ti4 O12'
_space_group_name_H-M_alt 'C 1 2/c 1'
_space_group_IT_number 15
_cell_length_a 10.0421
_cell_length_b 6.5106
_cell_length_c 5.5917
_cell_angle_alpha 90.00
_cell_angle_beta 115.48
_cell_angle_gamma 90.00
loop_
_space_group_symop_operation_xyz
'x,y,z'
'-x,-y,-z'
'-x,y,-z+1/2'
'x,-y,z+1/2'
'x+1/2,y+1/2,z'
'-x+1/2,-y+1/2,-z'
'-x+1/2,y+1/2,-z+1/2'
'x+1/2,-y+1/2,z+1/2'
loop_
_atom_site_label
_atom_site_fract_x
_atom_site_fract_y
_atom_site_fract_z
_atom_site_occupancy
Na1 0.1654 0.0820 0.0654 1
Ti1 0.0000 0.4168 0.2500 1
O1 0.0000 0.1421 0.2500 1
O2 0.1357 0.4488 0.0637 1
# **Formation energy from raw total energies**: -2.44 eV/atom

***

- What is the formation energy from raw total energies in the second record?
  -2.79 eV/atom

***

- formation energy from raw total energies of number 2 (Na3Ti8O16)?
  -2.79 eV/atom